Record 1
A relaxed structure of Sc3PaOs4. Source: Alexandria via LeMat-Bulk, functional PBE.

Total DFT energy (no corrections), eV per atom: -9.633
DOS at the Fermi energy, states/eV/cell: 2.3
Magnetization, μB/cell: 0.0

Cell: 4.640 4.640 6.564 Å, 90.00 90.00 90.00°
Positions (direct):
Sc1 0.000 0.000 0.000
Sc2 0.000 0.000 0.500
Sc3 0.500 0.500 0.000
Pa1 0.500 0.500 0.500
Os1 0.000 0.500 0.252
Os2 0.000 0.500 0.748
Os3 0.500 0.000 0.252
Os4 0.500 0.000 0.748


Record 2
A relaxed structure of PrY4Th. Source: Alexandria via LeMat-Bulk, functional PBE.

Total DFT energy (no corrections), eV per atom: -6.267
DOS at the Fermi energy, states/eV/cell: 10.0
Magnetization, μB/cell: 0.0

Cell: 6.698 6.698 6.698 Å, 129.61 117.05 84.71°
Positions (direct):
Pr1 0.000 0.000 0.000
Y1 0.084 0.333 0.751
Y2 0.417 0.667 0.751
Y3 0.583 0.333 0.249
Y4 0.916 0.667 0.249
Th1 0.500 0.000 0.500


Record 3
A relaxed structure of Pr4S4I3. Source: Alexandria via LeMat-Bulk, functional PBE.

DOS at the Fermi energy, states/eV/cell: 1.2
Magnetization, μB/cell: 0.0
Formation energy without anion corrections, eV per atom: -1.62

Cell: 9.458 9.458 9.458 Å, 153.12 126.05 61.28°
Positions (direct):
Pr1 0.227 0.227 0.000
Pr2 0.280 0.500 0.780
Pr3 0.720 0.500 0.220
Pr4 0.773 0.773 0.000
S1 0.030 0.331 0.699
S2 0.368 0.669 0.699
S3 0.632 0.331 0.301
S4 0.970 0.669 0.301
I1 0.000 0.000 0.000
I2 0.396 0.896 0.500
I3 0.604 0.104 0.500


Record 4
A relaxed structure of Ca2AgB2Rh5. Source: Alexandria via LeMat-Bulk, functional PBE.

Total DFT energy (no corrections), eV per atom: -6.130
DOS at the Fermi energy, states/eV/cell: 5.6
Magnetization, μB/cell: 0.0

Cell: 9.928 9.928 3.014 Å, 90.00 90.00 90.00°
Positions (direct):
Ca1 0.178 0.322 0.000
Ca2 0.322 0.822 0.000
Ca3 0.678 0.178 0.000
Ca4 0.822 0.678 0.000
Ag1 0.000 0.000 0.000
Ag2 0.500 0.500 0.000
B1 0.122 0.622 0.000
B2 0.378 0.122 0.000
B3 0.622 0.878 0.000
B4 0.878 0.378 0.000
Rh1 0.000 0.500 0.500
Rh2 0.070 0.770 0.500
Rh3 0.230 0.070 0.500
Rh4 0.270 0.570 0.500
Rh5 0.430 0.270 0.500
Rh6 0.500 0.000 0.500
Rh7 0.570 0.730 0.500
Rh8 0.730 0.430 0.500
Rh9 0.770 0.930 0.500
Rh10 0.930 0.230 0.500


Record 5
A relaxed structure of Tb5TlIn2. Source: Alexandria via LeMat-Bulk, functional PBE.

Total DFT energy (no corrections), eV per atom: -4.212
DOS at the Fermi energy, states/eV/cell: 14.5
Magnetization, μB/cell: 0.0

Cell: 9.207 9.207 9.207 Å, 127.94 127.94 76.72°
Positions (direct):
Tb1 0.000 0.000 0.000
Tb2 0.012 0.512 0.827
Tb3 0.185 0.012 0.500
Tb4 0.315 0.815 0.827
Tb5 0.488 0.315 0.500
Tb6 0.500 0.500 0.000
Tb7 0.512 0.685 0.500
Tb8 0.685 0.185 0.173
Tb9 0.815 0.988 0.500
Tb10 0.988 0.488 0.173
Tl1 0.250 0.250 0.000
Tl2 0.750 0.750 0.000
In1 0.131 0.369 0.500
In2 0.369 0.869 0.239
In3 0.631 0.131 0.761
In4 0.869 0.631 0.500


Record 6
A relaxed structure of Ba2GaSi2. Source: Alexandria via LeMat-Bulk, functional PBE.

DOS at the Fermi energy, states/eV/cell: 3.1
Magnetization, μB/cell: 0.0
Formation energy without anion corrections, eV per atom: -0.25

Cell: 4.871 7.679 7.679 Å, 31.43 90.00 90.00°
Positions (direct):
Ba1 0.000 0.000 0.000
Ba2 0.000 0.235 0.235
Ga1 0.500 0.834 0.834
Si1 0.500 0.428 0.428
Si2 0.500 0.594 0.594


Record 7
A relaxed structure of RbP2PtCl. Source: Alexandria via LeMat-Bulk, functional PBE.

DOS at the Fermi energy, states/eV/cell: 1.4
Magnetization, μB/cell: 0.0
Formation energy without anion corrections, eV per atom: -0.25

Cell: 4.509 4.509 8.763 Å, 90.00 90.00 90.00°
Positions (direct):
Rb1 0.000 0.000 0.000
P1 0.000 0.500 0.500
P2 0.500 0.000 0.500
Pt1 0.500 0.500 0.500
Cl1 0.500 0.500 0.000


Record 8
A relaxed structure of CePa2CdO8. Source: Alexandria via LeMat-Bulk, functional PBE.

DOS at the Fermi energy, states/eV/cell: 0.0
Magnetization, μB/cell: 0.0
Formation energy without anion corrections, eV per atom: -3.16

Cell: 6.630 6.630 6.630 Å, 131.57 131.57 70.91°
Positions (direct):
Ce1 0.000 0.000 0.000
Pa1 0.250 0.750 0.500
Pa2 0.500 0.500 0.000
Cd1 0.750 0.250 0.500
O1 0.142 0.122 0.509
O2 0.142 0.633 0.020
O3 0.367 0.387 0.509
O4 0.367 0.858 0.980
O5 0.613 0.122 0.980
O6 0.613 0.633 0.491
O7 0.878 0.387 0.020
O8 0.878 0.858 0.491


Record 9
A relaxed structure of Dy5Si4. Source: Alexandria via LeMat-Bulk, functional PBE.

DOS at the Fermi energy, states/eV/cell: 5.1
Magnetization, μB/cell: 0.0
Formation energy without anion corrections, eV per atom: -0.74

Cell: 5.719 5.719 9.665 Å, 110.29 110.29 44.11°
Positions (direct):
Dy1 0.000 0.000 0.000
Dy2 0.102 0.102 0.391
Dy3 0.247 0.247 0.830
Dy4 0.753 0.753 0.170
Dy5 0.898 0.898 0.609
Si1 0.383 0.383 0.392
Si2 0.453 0.453 0.172
Si3 0.547 0.547 0.828
Si4 0.617 0.617 0.608


Record 10
A relaxed structure of LiCu5Au4. Source: Alexandria via LeMat-Bulk, functional PBE.

Total DFT energy (no corrections), eV per atom: -3.605
DOS at the Fermi energy, states/eV/cell: 5.0
Magnetization, μB/cell: 0.0

Cell: 7.596 9.078 4.542 Å, 90.00 90.00 90.00°
Positions (direct):
Li1 0.250 0.250 0.033
Li2 0.750 0.750 0.967
Cu1 0.080 0.514 0.756
Cu2 0.080 0.986 0.756
Cu3 0.250 0.750 0.770
Cu4 0.420 0.514 0.756
Cu5 0.420 0.986 0.756
Cu6 0.580 0.014 0.244
Cu7 0.580 0.486 0.244
Cu8 0.750 0.250 0.230
Cu9 0.920 0.014 0.244
Cu10 0.920 0.486 0.244
Au1 0.063 0.250 0.524
Au2 0.250 0.578 0.250
Au3 0.250 0.922 0.250
Au4 0.437 0.250 0.524
Au5 0.563 0.750 0.476
Au6 0.750 0.078 0.750
Au7 0.750 0.422 0.750
Au8 0.937 0.750 0.476